Record 1
Here is a geometry-optimized KLiSO4 structure from Alexandria. Energies are from PBE.

Values from the calculation:
Formation energy without anion corrections in eV per formula unit: -13.35
Total DFT energy (no corrections) in eV/atom: -5.76

abc: 5.212 5.212 8.807
angles: 90.00 90.00 120.00
Fractional positions:
K 0.000 0.000 0.000
K 0.000 0.000 0.500
Li 0.333 0.667 0.313
Li 0.667 0.333 0.813
S 0.333 0.667 0.703
S 0.667 0.333 0.203
O 0.059 0.399 0.758
O 0.333 0.667 0.533
O 0.340 0.941 0.758
O 0.399 0.340 0.258
O 0.601 0.660 0.758
O 0.660 0.059 0.258
O 0.667 0.333 0.033
O 0.941 0.601 0.258



Record 2
Here is a geometry-optimized KLiS2O6 structure from Alexandria. Energies are from PBE.

Values from the calculation:
Formation energy without anion corrections in eV per formula unit: -14.14
Total DFT energy (no corrections) in eV/atom: -5.52

abc: 6.743 6.743 6.743
angles: 47.69 47.69 47.69
Fractional positions:
K 0.000 0.000 0.000
Li 0.500 0.500 0.500
S 0.257 0.257 0.257
S 0.743 0.743 0.743
O 0.053 0.533 0.706
O 0.294 0.947 0.467
O 0.467 0.294 0.947
O 0.533 0.706 0.053
O 0.706 0.053 0.533
O 0.947 0.467 0.294



Record 3
Here is a geometry-optimized KLiSO4 structure from Alexandria. Energies are from PBE.

Values from the calculation:
Formation energy without anion corrections in eV per formula unit: -13.35
Total DFT energy (no corrections) in eV/atom: -5.76

abc: 5.214 5.214 8.800
angles: 90.00 90.00 120.00
Fractional positions:
K 0.000 0.000 0.000
K 0.000 0.000 0.500
Li 0.333 0.667 0.313
Li 0.667 0.333 0.813
S 0.333 0.667 0.703
S 0.667 0.333 0.203
O 0.059 0.400 0.758
O 0.333 0.667 0.534
O 0.340 0.941 0.758
O 0.400 0.059 0.258
O 0.600 0.660 0.758
O 0.660 0.600 0.258
O 0.667 0.333 0.034
O 0.941 0.340 0.258



Record 4
Here is a geometry-optimized KLiSbO4 structure from Alexandria. Energies are from PBE.

Values from the calculation:
Formation energy without anion corrections in eV per formula unit: -9.10
Total DFT energy (no corrections) in eV/atom: -5.15

abc: 5.667 5.667 5.667
angles: 118.46 118.46 92.69
Fractional positions:
K 0.000 0.000 0.000
Li 0.250 0.750 0.500
Sb 0.500 0.500 0.000
O 0.225 0.600 0.096
O 0.400 0.497 0.625
O 0.503 0.129 0.904
O 0.871 0.775 0.375



Record 5
Here is a geometry-optimized KLiSb3O8 structure from Alexandria. Energies are from PBE.

Values from the calculation:
Formation energy without anion corrections in eV per formula unit: -19.72
Total DFT energy (no corrections) in eV/atom: -5.75

abc: 6.444 7.658 7.864
angles: 85.96 78.88 76.71
Fractional positions:
K 0.000 0.000 0.000
K 0.464 0.951 0.180
Li 0.172 0.801 0.594
Li 0.544 0.544 0.334
Sb 0.049 0.548 0.291
Sb 0.322 0.212 0.578
Sb 0.406 0.508 0.932
Sb 0.657 0.840 0.609
Sb 0.833 0.205 0.568
Sb 0.907 0.512 0.933
O 0.013 0.310 0.725
O 0.127 0.636 0.811
O 0.141 0.091 0.459
O 0.143 0.373 0.075
O 0.280 0.666 0.156
O 0.298 0.410 0.402
O 0.375 0.000 0.741
O 0.484 0.745 0.485
O 0.525 0.326 0.682
O 0.636 0.081 0.443
O 0.666 0.672 0.819
O 0.702 0.365 0.029
O 0.828 0.406 0.398
O 0.829 0.671 0.142
O 0.832 0.982 0.715
O 0.953 0.733 0.470



Record 6
Here is a geometry-optimized K3LiSb2O6 structure from Alexandria. Energies are from PBE.

Values from the calculation:
Formation energy without anion corrections in eV per formula unit: -15.96
Total DFT energy (no corrections) in eV/atom: -4.93

abc: 6.214 6.214 7.062
angles: 90.00 90.00 120.00
Fractional positions:
K 0.000 0.000 0.000
K 0.333 0.667 0.650
K 0.667 0.333 0.350
Li 0.000 0.000 0.500
Sb 0.333 0.667 0.191
Sb 0.667 0.333 0.809
O 0.169 0.338 0.296
O 0.169 0.831 0.296
O 0.338 0.169 0.704
O 0.662 0.831 0.296
O 0.831 0.169 0.704
O 0.831 0.662 0.704



Record 7
Here is a geometry-optimized KLiSc2O4 structure from Alexandria. Energies are from PBE.

Values from the calculation:
Formation energy without anion corrections in eV per formula unit: -22.65
Total DFT energy (no corrections) in eV/atom: -7.27

abc: 5.673 5.673 11.074
angles: 90.00 90.00 146.72
Fractional positions:
K 0.099 0.901 0.750
K 0.901 0.099 0.250
Li 0.179 0.821 0.250
Li 0.821 0.179 0.750
Sc 0.364 0.636 0.559
Sc 0.364 0.636 0.941
Sc 0.636 0.364 0.059
Sc 0.636 0.364 0.441
O 0.000 0.000 0.000
O 0.000 0.000 0.500
O 0.253 0.747 0.098
O 0.253 0.747 0.402
O 0.405 0.595 0.750
O 0.595 0.405 0.250
O 0.747 0.253 0.598
O 0.747 0.253 0.902



Record 8
Here is a geometry-optimized KLi2SeO4 structure from Alexandria. Energies are from PBE.

Values from the calculation:
Formation energy without anion corrections in eV per formula unit: -8.57
Total DFT energy (no corrections) in eV/atom: -4.60

abc: 6.542 6.542 6.827
angles: 121.01 121.01 81.84
Fractional positions:
K 0.000 0.500 0.000
K 0.500 0.000 0.500
Li 0.000 0.000 0.000
Li 0.000 0.000 0.500
Li 0.000 0.500 0.500
Li 0.500 0.000 0.000
Se 0.500 0.500 0.000
Se 0.500 0.500 0.500
O 0.234 0.269 0.297
O 0.269 0.234 0.797
O 0.272 0.686 0.932
O 0.314 0.728 0.568
O 0.686 0.272 0.432
O 0.728 0.314 0.068
O 0.731 0.766 0.203
O 0.766 0.731 0.703



Record 9
Here is a geometry-optimized K3LiSe2O8 structure from Alexandria. Energies are from PBE.

Values from the calculation:
Formation energy without anion corrections in eV per formula unit: -19.46
Total DFT energy (no corrections) in eV/atom: -5.09

abc: 5.832 5.832 7.566
angles: 90.00 90.00 120.00
Fractional positions:
K 0.000 0.000 0.000
K 0.333 0.667 0.670
K 0.667 0.333 0.330
Li 0.000 0.000 0.500
Se 0.333 0.667 0.236
Se 0.667 0.333 0.764
O 0.177 0.355 0.314
O 0.177 0.823 0.314
O 0.333 0.667 0.017
O 0.355 0.177 0.686
O 0.645 0.823 0.314
O 0.667 0.333 0.983
O 0.823 0.177 0.686
O 0.823 0.645 0.686



Record 10
Here is a geometry-optimized KLiSeO4 structure from Alexandria. Energies are from PBE.

Values from the calculation:
Formation energy without anion corrections in eV per formula unit: -9.85
Total DFT energy (no corrections) in eV/atom: -5.17

abc: 5.642 5.642 5.642
angles: 119.53 119.53 90.82
Fractional positions:
K 0.000 0.000 0.000
Li 0.500 0.500 0.000
Se 0.750 0.250 0.500
O 0.087 0.477 0.826
O 0.523 0.349 0.610
O 0.651 0.261 0.174
O 0.739 0.913 0.390



Please write out number 2 again, unchanged.
Here is a geometry-optimized KLiS2O6 structure from Alexandria. Energies are from PBE.

Values from the calculation:
Formation energy without anion corrections in eV per formula unit: -14.14
Total DFT energy (no corrections) in eV/atom: -5.52

abc: 6.743 6.743 6.743
angles: 47.69 47.69 47.69
Fractional positions:
K 0.000 0.000 0.000
Li 0.500 0.500 0.500
S 0.257 0.257 0.257
S 0.743 0.743 0.743
O 0.053 0.533 0.706
O 0.294 0.947 0.467
O 0.467 0.294 0.947
O 0.533 0.706 0.053
O 0.706 0.053 0.533
O 0.947 0.467 0.294



Number 9 is which compound? K3LiSe2O8



Please write out number 6 again, unchanged.
Here is a geometry-optimized K3LiSb2O6 structure from Alexandria. Energies are from PBE.

Values from the calculation:
Formation energy without anion corrections in eV per formula unit: -15.96
Total DFT energy (no corrections) in eV/atom: -4.93

abc: 6.214 6.214 7.062
angles: 90.00 90.00 120.00
Fractional positions:
K 0.000 0.000 0.000
K 0.333 0.667 0.650
K 0.667 0.333 0.350
Li 0.000 0.000 0.500
Sb 0.333 0.667 0.191
Sb 0.667 0.333 0.809
O 0.169 0.338 0.296
O 0.169 0.831 0.296
O 0.338 0.169 0.704
O 0.662 0.831 0.296
O 0.831 0.169 0.704
O 0.831 0.662 0.704



What is the total DFT energy (no corrections) in the fourth record? -5.15 eV/atom